! InCoPb2 PBE relaxed; values from VASP
! calculated total energy = -15.25 eV/cell
&SYSTEM
  ibrav = 0, nat = 4, ntyp = 3
/
ATOMIC_SPECIES
In 114.82 In.upf
Pb 207.20 Pb.upf
Co 58.93 Co.upf
ATOMIC_POSITIONS crystal
In 0.750 0.250 0.500
Pb 0.500 0.500 0.000
Co 0.250 0.750 0.500
Pb 0.000 0.000 0.000
CELL_PARAMETERS angstrom
-1.402 2.766 -4.519
-4.902 -1.978 -1.445
1.668 1.916 4.856